Entry 1:
NaAl2Tc2 (PBE, optimized geometry); space group = No. 127
1.0
6.990 0.000 0.000
0.000 6.990 0.000
0.000 0.000 3.240
Tc Na Al
4 2 4
Direct
0.162 0.662 0.500
0.662 0.838 0.500
0.338 0.162 0.500
0.838 0.338 0.500
0.500 0.500 0.000
0.000 0.000 0.000
0.869 0.631 0.000
0.631 0.131 0.000
0.131 0.369 0.000
0.369 0.869 0.000

=====

Entry 2:
NaAlTc (PBE, optimized geometry); space group = No. 11
1.0
-0.984 -2.179 1.550
3.392 -2.200 -0.940
5.397 4.998 7.779
Al Na Tc
2 2 2
Direct
0.420 0.750 0.343
0.580 0.250 0.657
0.822 0.250 0.136
0.178 0.750 0.864
0.034 0.750 0.567
0.966 0.250 0.433

=====

Entry 3:
NaAlTc2 (PBE, optimized geometry); space group = No. 122
1.0
3.897 0.000 0.000
0.000 3.897 0.000
1.948 1.948 9.599
Na Tc Al
2 4 2
Direct
0.500 0.500 0.000
0.250 0.750 0.500
0.698 0.125 0.250
0.375 0.302 0.750
0.875 0.948 0.750
0.052 0.625 0.250
0.000 0.000 0.000
0.750 0.250 0.500

=====

Entry 4:
NaAl2Tc2 (PBE, optimized geometry); space group = No. 127
1.0
7.953 0.000 0.000
0.000 7.953 0.000
0.000 0.000 2.651
Al Na Tc
4 2 4
Direct
0.822 0.322 0.500
0.322 0.178 0.500
0.178 0.678 0.500
0.678 0.822 0.500
0.000 0.000 0.000
0.500 0.500 0.000
0.884 0.616 0.000
0.384 0.884 0.000
0.116 0.384 0.000
0.616 0.116 0.000

=====

Entry 5:
NaAlTc (PBE, optimized geometry); space group = No. 25
1.0
2.894 0.000 0.000
0.000 4.036 0.000
0.000 0.000 10.511
Al Tc Na
2 2 2
Direct
0.000 0.000 0.627
0.000 0.000 0.374
0.500 0.500 0.482
0.500 0.500 0.701
0.000 0.000 0.912
0.500 0.500 0.171

=====

Entry 6:
NaAlTc (PBE, optimized geometry); space group = No. 11
1.0
3.014 0.000 0.000
0.000 3.014 0.000
-0.022 0.000 12.848
Na Al Tc
2 2 2
Direct
0.253 0.750 0.876
0.747 0.250 0.124
0.751 0.250 0.684
0.249 0.750 0.316
0.251 0.750 0.559
0.749 0.250 0.441

=====

Entry 7:
Na2AlTe2 (PBE, optimized geometry); space group = No. 127
1.0
-4.781 5.529 -3.219
-6.140 -5.095 0.368
-1.018 1.525 4.132
Al Te Na
2 4 4
Direct
0.500 0.500 0.000
0.000 0.000 0.000
0.320 0.820 0.000
0.680 0.180 0.000
0.180 0.320 0.000
0.820 0.680 0.000
0.636 0.864 0.500
0.136 0.636 0.500
0.364 0.136 0.500
0.864 0.364 0.500

=====

Entry 8:
NaAl2Te (PBE, optimized geometry); space group = No. 122
1.0
-4.454 -5.680 -4.252
4.286 -6.154 3.732
-2.089 -5.985 1.931
Te Al Na
2 4 2
Direct
0.000 0.000 0.000
0.750 0.250 0.500
0.098 0.625 0.250
0.375 0.348 0.750
0.875 0.902 0.750
0.652 0.125 0.250
0.500 0.500 0.000
0.250 0.750 0.500

=====

Entry 9:
Na14Al2Te9 (PBE, optimized geometry); space group = No. 147
1.0
-0.014 0.615 -8.929
-6.660 -4.251 4.203
-6.376 10.729 0.749
Al Te Na
2 9 14
Direct
0.667 0.333 0.743
0.333 0.667 0.257
0.333 0.667 0.030
0.950 0.644 0.664
0.050 0.356 0.336
0.356 0.306 0.664
0.644 0.694 0.336
0.000 0.000 0.000
0.306 0.950 0.336
0.694 0.050 0.664
0.667 0.333 0.970
0.630 0.681 0.592
0.051 0.370 0.592
0.681 0.051 0.408
0.000 0.000 0.748
0.370 0.319 0.408
0.024 0.675 0.910
0.349 0.024 0.090
0.325 0.349 0.910
0.949 0.630 0.408
0.319 0.949 0.592
0.976 0.325 0.090
0.675 0.651 0.090
0.651 0.976 0.910
0.000 0.000 0.252

=====

Entry 10:
NaAl2Te2 (PBE, optimized geometry); space group = No. 139
1.0
5.231 0.000 0.000
0.000 5.231 0.000
2.616 2.616 5.994
Na Al Te
1 2 2
Direct
0.000 0.000 0.000
0.750 0.250 0.500
0.250 0.750 0.500
0.657 0.657 0.687
0.343 0.343 0.313

=====

Entry 11:
NaAl2Te3 (PBE, optimized geometry); space group = No. 12
1.0
4.120 0.000 0.000
0.000 8.249 -1.018
-2.060 -3.189 12.017
Al Te Na
4 6 2
Direct
0.060 0.179 0.119
0.725 0.371 0.450
0.275 0.629 0.550
0.940 0.821 0.881
0.050 0.856 0.100
0.950 0.144 0.900
0.232 0.158 0.463
0.615 0.379 0.229
0.385 0.621 0.771
0.768 0.842 0.537
0.643 0.841 0.285
0.357 0.159 0.715

=====

Entry 12:
Na3AlTe3 (PBE, optimized geometry); space group = No. 12
1.0
8.173 0.090 0.023
-3.560 7.358 0.023
-0.667 -1.077 7.628
Na Al Te
6 2 6
Direct
0.412 0.412 0.650
0.762 0.238 0.000
0.173 0.827 0.500
0.238 0.762 0.000
0.827 0.173 0.500
0.588 0.588 0.350
0.820 0.820 0.856
0.180 0.180 0.144
0.153 0.467 0.275
0.533 0.847 0.725
0.887 0.887 0.206
0.847 0.533 0.725
0.113 0.113 0.794
0.467 0.153 0.275

=====

no.,theoretical density (g/cm3),E_tot (eV per cell)
1,5.73,-57.5
2,3.92,-30.4
3,5.60,-45.6
4,5.41,-58.9
5,4.00,-30.1
6,4.21,-31.3
7,3.78,-29.5
8,3.26,-23.9
9,2.92,-73.3
10,3.36,-15.4
11,3.86,-42.0
12,3.44,-45.1